[1]
# PBE UCrRu, relaxed
data_UCrRu
_chemical_formula_sum 'U6 Cr6 Ru6'
_symmetry_space_group_name_H-M 'R -3 m'
_symmetry_Int_Tables_number 166
_symmetry_space_group_name_Hall '-R 3 2"'
_cell_length_a 3.9617
_cell_length_b 3.9617
_cell_length_c 21.8958
_cell_angle_alpha 90.00
_cell_angle_beta 90.00
_cell_angle_gamma 120.00
loop_
_atom_site_label
_atom_site_type_symbol
_atom_site_fract_x
_atom_site_fract_y
_atom_site_fract_z
U1 U 0.0000 0.0000 0.1994
Cr1 Cr 0.0000 0.0000 0.3516
Ru1 Ru 0.0000 0.0000 0.0624
# - D(E_F) (states/eV/f.u.) = 3.48
# - calculated formation energy (kJ per mole of atoms) = 6.9


[2]
# PBE UCrRu2, relaxed
data_UCrRu2
_chemical_formula_sum 'U3 Cr3 Ru6'
_symmetry_space_group_name_H-M 'R -3 m'
_symmetry_Int_Tables_number 166
_symmetry_space_group_name_Hall '-R 3 2"'
_cell_length_a 2.7893
_cell_length_b 2.7893
_cell_length_c 27.2636
_cell_angle_alpha 90.00
_cell_angle_beta 90.00
_cell_angle_gamma 120.00
loop_
_atom_site_label
_atom_site_type_symbol
_atom_site_fract_x
_atom_site_fract_y
_atom_site_fract_z
U1 U 0.0000 0.0000 0.0000
Cr1 Cr 0.0000 0.0000 0.5000
Ru1 Ru 0.0000 0.0000 0.2389
# - D(E_F) (states/eV/f.u.) = 6.37
# - calculated formation energy (kJ per mole of atoms) = 18.8


[3]
# PBE UCrRu, relaxed
data_UCrRu
_chemical_formula_sum 'U2 Cr2 Ru2'
_symmetry_space_group_name_H-M 'I 4 m m'
_symmetry_Int_Tables_number 107
_symmetry_space_group_name_Hall 'I 4 -2'
_cell_length_a 2.869
_cell_length_b 2.869
_cell_length_c 11.530
_cell_angle_alpha 90.00
_cell_angle_beta 90.00
_cell_angle_gamma 90.00
loop_
_atom_site_label
_atom_site_type_symbol
_atom_site_fract_x
_atom_site_fract_y
_atom_site_fract_z
U1 U 0.000 0.000 0.000
Cr1 Cr 0.000 0.000 0.679
Ru1 Ru 0.000 0.000 0.304
# - D(E_F) (states/eV/f.u.) = 2.58
# - calculated formation energy (kJ per mole of atoms) = 4.0


[4]
# PBE UCrRu2, relaxed
data_UCrRu2
_chemical_formula_sum 'U1 Cr1 Ru2'
_symmetry_space_group_name_H-M 'P 4/m m m'
_symmetry_Int_Tables_number 123
_symmetry_space_group_name_Hall '-P 4 2'
_cell_length_a 4.207
_cell_length_b 4.207
_cell_length_c 3.655
_cell_angle_alpha 90.00
_cell_angle_beta 90.00
_cell_angle_gamma 90.00
loop_
_atom_site_label
_atom_site_type_symbol
_atom_site_fract_x
_atom_site_fract_y
_atom_site_fract_z
U1 U 0.000 0.000 0.000
Cr1 Cr 0.500 0.500 0.000
Ru1 Ru 0.000 0.500 0.500
# - D(E_F) (states/eV/f.u.) = 5.35
# - calculated formation energy (kJ per mole of atoms) = -10.4


[5]
# PBE UCrRu2, relaxed
data_UCrRu2
_chemical_formula_sum 'U1 Cr1 Ru2'
_symmetry_space_group_name_H-M 'P 4/m m m'
_symmetry_Int_Tables_number 123
_symmetry_space_group_name_Hall '-P 4 2'
_cell_length_a 2.939
_cell_length_b 2.939
_cell_length_c 7.165
_cell_angle_alpha 90.00
_cell_angle_beta 90.00
_cell_angle_gamma 90.00
loop_
_atom_site_label
_atom_site_type_symbol
_atom_site_fract_x
_atom_site_fract_y
_atom_site_fract_z
U1 U 0.000 0.000 0.000
Cr1 Cr 0.000 0.000 0.500
Ru1 Ru 0.500 0.500 0.291
# - D(E_F) (states/eV/f.u.) = 4.52
# - calculated formation energy (kJ per mole of atoms) = -0.3


[6]
# PBE VCrRu, relaxed
data_VCrRu
_chemical_formula_sum 'V4 Cr4 Ru4'
_symmetry_space_group_name_H-M 'C 1 m 1'
_symmetry_Int_Tables_number 8
_symmetry_space_group_name_Hall 'C -2y'
_cell_length_a 8.904
_cell_length_b 4.142
_cell_length_c 5.124
_cell_angle_alpha 90.00
_cell_angle_beta 124.57
_cell_angle_gamma 90.00
loop_
_atom_site_label
_atom_site_type_symbol
_atom_site_fract_x
_atom_site_fract_y
_atom_site_fract_z
V1 V 0.000 0.000 0.000
V2 V 0.156 0.500 0.326
Cr1 Cr 0.348 0.000 0.199
Cr2 Cr 0.483 0.500 0.490
Ru1 Ru 0.168 0.500 0.842
Ru2 Ru 0.317 0.000 0.667
# - D(E_F) (states/eV/f.u.) = 3.44
# - calculated formation energy (kJ per mole of atoms) = -8.4


[7]
# PBE V2CrRu4, relaxed
data_V2CrRu4
_chemical_formula_sum 'V8 Cr4 Ru16'
_symmetry_space_group_name_H-M 'C 1 c 1'
_symmetry_Int_Tables_number 9
_symmetry_space_group_name_Hall 'C -2yc'
_cell_length_a 6.776
_cell_length_b 11.709
_cell_length_c 4.927
_cell_angle_alpha 90.00
_cell_angle_beta 99.67
_cell_angle_gamma 90.00
loop_
_atom_site_label
_atom_site_type_symbol
_atom_site_fract_x
_atom_site_fract_y
_atom_site_fract_z
V1 V 0.000 0.079 0.000
V2 V 0.364 0.156 0.861
Cr1 Cr 0.075 0.304 0.880
Ru1 Ru 0.165 0.479 0.648
Ru2 Ru 0.219 0.280 0.357
Ru3 Ru 0.301 0.054 0.352
Ru4 Ru 0.457 0.363 0.011
# - D(E_F) (states/eV/f.u.) = 7.31
# - calculated formation energy (kJ per mole of atoms) = -4.6


[8]
# PBE VCrRu, relaxed
data_VCrRu
_chemical_formula_sum 'V4 Cr4 Ru4'
_symmetry_space_group_name_H-M 'A m m 2'
_symmetry_Int_Tables_number 38
_symmetry_space_group_name_Hall 'A 2 -2'
_cell_length_a 2.947
_cell_length_b 4.181
_cell_length_c 12.720
_cell_angle_alpha 90.00
_cell_angle_beta 90.00
_cell_angle_gamma 90.00
loop_
_atom_site_label
_atom_site_type_symbol
_atom_site_fract_x
_atom_site_fract_y
_atom_site_fract_z
V1 V 0.000 0.000 0.000
V2 V 0.500 0.000 0.164
Cr1 Cr 0.500 0.000 0.503
Cr2 Cr 0.500 0.000 0.849
Ru1 Ru 0.000 0.000 0.330
Ru2 Ru 0.000 0.000 0.670
# - D(E_F) (states/eV/f.u.) = 2.53
# - calculated formation energy (kJ per mole of atoms) = -9.4


[9]
# PBE VCrRu, relaxed
data_VCrRu
_chemical_formula_sum 'V4 Cr4 Ru4'
_symmetry_space_group_name_H-M 'A m m 2'
_symmetry_Int_Tables_number 38
_symmetry_space_group_name_Hall 'A 2 -2'
_cell_length_a 4.214
_cell_length_b 2.953
_cell_length_c 12.533
_cell_angle_alpha 90.00
_cell_angle_beta 90.00
_cell_angle_gamma 90.00
loop_
_atom_site_label
_atom_site_type_symbol
_atom_site_fract_x
_atom_site_fract_y
_atom_site_fract_z
V1 V 0.000 0.000 0.000
V2 V 0.000 0.000 0.339
Cr1 Cr 0.500 0.000 0.188
Cr2 Cr 0.500 0.000 0.832
Ru1 Ru 0.000 0.000 0.668
Ru2 Ru 0.500 0.000 0.508
# - D(E_F) (states/eV/f.u.) = 2.83
# - calculated formation energy (kJ per mole of atoms) = -10.4


[10]
# PBE V2CrRu2, relaxed
data_V2CrRu2
_chemical_formula_sum 'V4 Cr2 Ru4'
_symmetry_space_group_name_H-M 'C m m m'
_symmetry_Int_Tables_number 65
_symmetry_space_group_name_Hall '-C 2 2'
_cell_length_a 2.915
_cell_length_b 16.055
_cell_length_c 2.921
_cell_angle_alpha 90.00
_cell_angle_beta 90.00
_cell_angle_gamma 90.00
loop_
_atom_site_label
_atom_site_type_symbol
_atom_site_fract_x
_atom_site_fract_y
_atom_site_fract_z
V1 V 0.000 0.091 0.000
Cr1 Cr 0.000 0.500 0.500
Ru1 Ru 0.000 0.318 0.500
# - D(E_F) (states/eV/f.u.) = 4.11
# - calculated formation energy (kJ per mole of atoms) = -4.8


[11]
# PBE VCrRu, relaxed
data_VCrRu
_chemical_formula_sum 'V3 Cr3 Ru3'
_symmetry_space_group_name_H-M 'R 3 m'
_symmetry_Int_Tables_number 160
_symmetry_space_group_name_Hall 'R 3 -2"'
_cell_length_a 3.7223
_cell_length_b 3.7223
_cell_length_c 13.1880
_cell_angle_alpha 90.00
_cell_angle_beta 90.00
_cell_angle_gamma 120.00
loop_
_atom_site_label
_atom_site_type_symbol
_atom_site_fract_x
_atom_site_fract_y
_atom_site_fract_z
V1 V 0.0000 0.0000 0.0000
Cr1 Cr 0.0000 0.0000 0.4190
Ru1 Ru 0.0000 0.0000 0.8099
# - D(E_F) (states/eV/f.u.) = 4.32
# - calculated formation energy (kJ per mole of atoms) = 100.0


[12]
# PBE VCrRu, relaxed
data_VCrRu
_chemical_formula_sum 'V4 Cr4 Ru4'
_symmetry_space_group_name_H-M 'A m m 2'
_symmetry_Int_Tables_number 38
_symmetry_space_group_name_Hall 'A 2 -2'
_cell_length_a 4.230
_cell_length_b 2.947
_cell_length_c 12.488
_cell_angle_alpha 90.00
_cell_angle_beta 90.00
_cell_angle_gamma 90.00
loop_
_atom_site_label
_atom_site_type_symbol
_atom_site_fract_x
_atom_site_fract_y
_atom_site_fract_z
V1 V 0.000 0.000 0.000
V2 V 0.500 0.000 0.162
Cr1 Cr 0.000 0.000 0.655
Cr2 Cr 0.500 0.000 0.814
Ru1 Ru 0.000 0.000 0.328
Ru2 Ru 0.500 0.000 0.489
# - D(E_F) (states/eV/f.u.) = 2.86
# - calculated formation energy (kJ per mole of atoms) = -10.9


Number 1: calculated total energy -0.7343 Ry per atom. Number 2: calculated total energy -0.7108 Ry per atom. Number 3: calculated total energy -0.7365 Ry per atom. Number 4: calculated total energy -0.7331 Ry per atom. Number 5: calculated total energy -0.7254 Ry per atom. Number 6: calculated total energy -0.6928 Ry per atom. Number 7: calculated total energy -0.6856 Ry per atom. Number 8: calculated total energy -0.6936 Ry per atom. Number 9: calculated total energy -0.6943 Ry per atom. Number 10: calculated total energy -0.6859 Ry per atom. Number 11: calculated total energy -0.6103 Ry per atom. Number 12: calculated total energy -0.6947 Ry per atom.